No. 1
Crystalline La4Pr2DyHo at its relaxed geometry. Source: the Alexandria database, functional GGA-PBE.

Properties
The volume comes out at 35.28 Å³ per atom. For the density of states at the Fermi level, the calculation gives 12.401 states/eV per cell. The total energy comes out at -4.79 eV/atom.

```
data_La4Pr2DyHo
_symmetry_space_group_name_H-M 'P 1 2/m 1'
_symmetry_Int_Tables_number 10
_cell_length_a 5.222
_cell_length_b 5.260
_cell_length_c 10.278
_cell_angle_alpha 90.00
_cell_angle_beta 90.09
_cell_angle_gamma 90.00
loop_
_symmetry_equiv_pos_as_xyz
'x,y,z'
'-x,-y,-z'
'-x,y,-z'
'x,-y,z'
loop_
_atom_site_label
_atom_site_type_symbol
_atom_site_fract_x
_atom_site_fract_y
_atom_site_fract_z
La1 La 0.000 0.000 0.249
La2 La 0.499 0.500 0.750
Pr1 Pr 0.000 0.500 0.000
Pr2 Pr 0.500 0.000 0.500
Dy1 Dy 0.000 0.500 0.500
Ho1 Ho 0.500 0.000 0.000
```



No. 2
Crystalline La4PrDyHo2 at its relaxed geometry. Source: the Alexandria database, functional GGA-PBE.

Properties
The volume comes out at 34.86 Å³ per atom. For the density of states at the Fermi level, the calculation gives 13.282 states/eV per cell. The total energy comes out at -4.70 eV/atom.

```
data_La4PrDyHo2
_symmetry_space_group_name_H-M 'P 4/m m m'
_symmetry_Int_Tables_number 123
_symmetry_space_group_name_Hall '-P 4 2'
_cell_length_a 6.008
_cell_length_b 6.008
_cell_length_c 7.727
_cell_angle_alpha 90.00
_cell_angle_beta 90.00
_cell_angle_gamma 90.00
loop_
_atom_site_label
_atom_site_type_symbol
_atom_site_fract_x
_atom_site_fract_y
_atom_site_fract_z
La1 La 0.000 0.500 0.240
Pr1 Pr 0.000 0.000 0.500
Dy1 Dy 0.500 0.500 0.500
Ho1 Ho 0.000 0.000 0.000
Ho2 Ho 0.500 0.500 0.000
```



No. 3
Crystalline La2Pr4Dy2Ho at its relaxed geometry. Source: the Alexandria database, functional GGA-PBE.

Properties
The volume comes out at 34.86 Å³ per atom. For the density of states at the Fermi level, the calculation gives 25.226 states/eV per cell. The total energy comes out at -4.74 eV/atom.

```
data_La2Pr4Dy2Ho
_symmetry_space_group_name_H-M 'C 1 2/m 1'
_symmetry_Int_Tables_number 12
_cell_length_a 19.143
_cell_length_b 3.705
_cell_length_c 9.814
_cell_angle_alpha 90.00
_cell_angle_beta 115.66
_cell_angle_gamma 90.00
loop_
_symmetry_equiv_pos_as_xyz
'x,y,z'
'-x,-y,-z'
'-x,y,-z'
'x,-y,z'
'x+1/2,y+1/2,z'
'-x+1/2,-y+1/2,-z'
'-x+1/2,y+1/2,-z'
'x+1/2,-y+1/2,z'
loop_
_atom_site_label
_atom_site_type_symbol
_atom_site_fract_x
_atom_site_fract_y
_atom_site_fract_z
La1 La 0.165 0.000 0.498
Pr1 Pr 0.018 0.000 0.835
Pr2 Pr 0.186 0.500 0.833
Dy1 Dy 0.148 0.500 0.167
Ho1 Ho 0.000 0.500 0.500
```



No. 4
Crystalline LaPr6Dy2Ho3 at its relaxed geometry. Source: the Alexandria database, functional GGA-PBE.

Properties
The volume comes out at 34.09 Å³ per atom. For the density of states at the Fermi level, the calculation gives 29.656 states/eV per cell. The total energy comes out at -4.70 eV/atom.

```
data_LaPr6Dy2Ho3
_symmetry_space_group_name_H-M 'C 1 2/m 1'
_symmetry_Int_Tables_number 12
_cell_length_a 6.328
_cell_length_b 10.963
_cell_length_c 11.979
_cell_angle_alpha 90.00
_cell_angle_beta 100.13
_cell_angle_gamma 90.00
loop_
_symmetry_equiv_pos_as_xyz
'x,y,z'
'-x,-y,-z'
'-x,y,-z'
'x,-y,z'
'x+1/2,y+1/2,z'
'-x+1/2,-y+1/2,-z'
'-x+1/2,y+1/2,-z'
'x+1/2,-y+1/2,z'
loop_
_atom_site_label
_atom_site_type_symbol
_atom_site_fract_x
_atom_site_fract_y
_atom_site_fract_z
La1 La 0.000 0.000 0.000
Pr1 Pr 0.248 0.333 0.747
Pr2 Pr 0.249 0.000 0.747
Dy1 Dy 0.000 0.334 0.000
Ho1 Ho 0.000 0.167 0.500
Ho2 Ho 0.000 0.500 0.500
```



No. 5
Crystalline La2Pr2DyHo at its relaxed geometry. Source: the Alexandria database, functional GGA-PBE.

Properties
The volume comes out at 34.58 Å³ per atom. For the density of states at the Fermi level, the calculation gives 18.406 states/eV per cell. The total energy comes out at -4.71 eV/atom.

```
data_La2Pr2DyHo
_symmetry_space_group_name_H-M 'P m m a'
_symmetry_Int_Tables_number 51
_cell_length_a 7.150
_cell_length_b 5.788
_cell_length_c 10.027
_cell_angle_alpha 90.00
_cell_angle_beta 90.00
_cell_angle_gamma 90.00
loop_
_symmetry_equiv_pos_as_xyz
'x,y,z'
'-x,-y,-z'
'-x+1/2,-y,z'
'x+1/2,y,-z'
'x+1/2,-y,-z'
'-x+1/2,y,z'
'-x,y,-z'
'x,-y,z'
loop_
_atom_site_label
_atom_site_type_symbol
_atom_site_fract_x
_atom_site_fract_y
_atom_site_fract_z
La1 La 0.000 0.000 0.000
La2 La 0.250 0.500 0.177
Pr1 Pr 0.250 0.000 0.332
Pr2 Pr 0.250 0.500 0.835
Dy1 Dy 0.250 0.000 0.657
Ho1 Ho 0.000 0.500 0.500
```



No. 6
Crystalline La5Pr2DyHo at its relaxed geometry. Source: the Alexandria database, functional GGA-PBE.

Properties
The volume comes out at 36.18 Å³ per atom. For the density of states at the Fermi level, the calculation gives 64.791 states/eV per cell. The total energy comes out at -4.56 eV/atom.

```
data_La5Pr2DyHo
_symmetry_space_group_name_H-M 'I 4/m c m'
_symmetry_Int_Tables_number 140
_symmetry_space_group_name_Hall '-I 4 2c'
_cell_length_a 8.714
_cell_length_b 8.714
_cell_length_c 17.151
_cell_angle_alpha 90.00
_cell_angle_beta 90.00
_cell_angle_gamma 90.00
loop_
_atom_site_label
_atom_site_type_symbol
_atom_site_fract_x
_atom_site_fract_y
_atom_site_fract_z
La1 La 0.000 0.000 0.000
La2 La 0.219 0.281 0.144
Pr1 Pr 0.123 0.377 0.500
Dy1 Dy 0.000 0.500 0.250
Ho1 Ho 0.000 0.000 0.250
```



No. 7
Crystalline La5PrDy2Ho at its relaxed geometry. Source: the Alexandria database, functional GGA-PBE.

Properties
The volume comes out at 36.56 Å³ per atom. For the density of states at the Fermi level, the calculation gives 63.412 states/eV per cell. The total energy comes out at -4.52 eV/atom.

```
data_La5PrDy2Ho
_symmetry_space_group_name_H-M 'I 4/m c m'
_symmetry_Int_Tables_number 140
_symmetry_space_group_name_Hall '-I 4 2c'
_cell_length_a 7.920
_cell_length_b 7.920
_cell_length_c 20.981
_cell_angle_alpha 90.00
_cell_angle_beta 90.00
_cell_angle_gamma 90.00
loop_
_atom_site_label
_atom_site_type_symbol
_atom_site_fract_x
_atom_site_fract_y
_atom_site_fract_z
La1 La 0.000 0.000 0.000
La2 La 0.200 0.300 0.128
Pr1 Pr 0.000 0.000 0.250
Dy1 Dy 0.130 0.370 0.500
Ho1 Ho 0.000 0.500 0.250
```



No. 8
Crystalline La2Pr6DyHo at its relaxed geometry. Source: the Alexandria database, functional GGA-PBE.

Properties
The volume comes out at 35.61 Å³ per atom. For the density of states at the Fermi level, the calculation gives 62.888 states/eV per cell. The total energy comes out at -4.66 eV/atom.

```
data_La2Pr6DyHo
_symmetry_space_group_name_H-M 'C 1 2/c 1'
_symmetry_Int_Tables_number 15
_cell_length_a 9.256
_cell_length_b 15.362
_cell_length_c 10.187
_cell_angle_alpha 90.00
_cell_angle_beta 100.49
_cell_angle_gamma 90.00
loop_
_symmetry_equiv_pos_as_xyz
'x,y,z'
'-x,-y,-z'
'-x,y,-z+1/2'
'x,-y,z+1/2'
'x+1/2,y+1/2,z'
'-x+1/2,-y+1/2,-z'
'-x+1/2,y+1/2,-z+1/2'
'x+1/2,-y+1/2,z+1/2'
loop_
_atom_site_label
_atom_site_type_symbol
_atom_site_fract_x
_atom_site_fract_y
_atom_site_fract_z
La1 La 0.241 0.048 0.041
Pr1 Pr 0.067 0.189 0.444
Pr2 Pr 0.103 0.399 0.621
Pr3 Pr 0.201 0.218 0.810
Dy1 Dy 0.000 0.013 0.750
Ho1 Ho 0.000 0.405 0.250
```